Crystalline HfMgI2 at its relaxed geometry. Source: Alexandria via LeMat-Bulk, functional PBEsol.

abc: 5.075 5.075 5.075
angles: 60.00 60.00 60.00
Element x y z (fractional)
1 I 0.250 0.250 0.250
2 I 0.750 0.750 0.750
3 Hf 0.500 0.500 0.500
4 Mg 0.000 0.000 0.000

Results
Fermi-level density of states = 3.705 states/eV/cell
energy = -3.91 eV/atom
V = 23.1 Å³ per atom
space group = No. 225
formation energy without anion corrections = 0.13 eV/f.u.

Crystalline La2PdPt2 at its relaxed geometry. Source: Alexandria via LeMat-Bulk, functional PBEsol.

abc: 3.891 7.589 7.589
angles: 90.00 90.00 90.00
Element x y z (fractional)
1 Pd 0.000 0.000 0.000
2 Pd 0.000 0.500 0.500
3 Pt 0.000 0.368 0.868
4 Pt 0.000 0.868 0.632
5 Pt 0.000 0.132 0.368
6 Pt 0.000 0.632 0.132
7 La 0.500 0.674 0.826
8 La 0.500 0.826 0.326
9 La 0.500 0.326 0.174
10 La 0.500 0.174 0.674

Results
Fermi-level density of states = 5.738 states/eV/cell
formation energy = -89.3 kJ/mol of atoms
energy = -7.04 eV/atom
V = 22.4 Å³ per atom
space group = No. 127

Crystalline LaZrAu3 at its relaxed geometry. Source: Alexandria via LeMat-Bulk, functional PBEsol.

abc: 5.100 5.100 5.100
angles: 90.00 90.00 90.00
Element x y z (fractional)
1 Au 0.500 0.000 0.000
2 Au 0.000 0.000 0.500
3 Au 0.000 0.500 0.000
4 La 0.500 0.500 0.500
5 Zr 0.000 0.000 0.000

Results
Fermi-level density of states = 5.088 states/eV/cell
formation energy = -0.9 kJ/mol of atoms
energy = -5.25 eV/atom
V = 26.5 Å³ per atom
space group = No. 221

Crystalline BeAlZn at its relaxed geometry. Source: Alexandria via LeMat-Bulk, functional PBEsol.

abc: 3.960 3.960 3.960
angles: 60.00 60.00 60.00
Element x y z (fractional)
1 Be 0.500 0.500 0.500
2 Zn 0.250 0.250 0.250
3 Al 0.000 0.000 0.000

Results
Fermi-level density of states = 0.806 states/eV/cell
formation energy = 25.2 kJ/mol of atoms
energy = -2.96 eV/atom
distance to the lowest polymorph of the same formula = 87.9 meV/atom
V = 14.6 Å³ per atom
space group = No. 216

Crystalline PuPaO4 at its relaxed geometry. Source: Alexandria via LeMat-Bulk, functional PBEsol.

abc: 3.793 3.793 5.405
angles: 90.00 90.00 90.00
Site moments in Bohr magnetons follow the coordinates.
Element x y z (fractional)
1 Pu 0.000 0.000 0.000  4.68
2 Pa 0.500 0.500 0.500  0.33
3 O 0.000 0.500 0.740  -0.04
4 O 0.000 0.500 0.260  -0.04
5 O 0.500 0.000 0.740  -0.04
6 O 0.500 0.000 0.260  -0.04

Results
Fermi-level density of states = 6.424 states/eV/cell
energy = -11.18 eV/atom
V = 13.0 Å³ per atom
space group = No. 123
formation energy without anion corrections = -20.71 eV/f.u.

Crystalline BaCdCu2 at its relaxed geometry. Source: Alexandria via LeMat-Bulk, functional PBEsol.

abc: 3.521 3.521 6.941
angles: 90.00 90.00 90.00
Element x y z (fractional)
1 Cu 0.000 0.000 0.675
2 Cu 0.000 0.000 0.325
3 Cd 0.500 0.500 0.500
4 Ba 0.500 0.500 0.000

Results
Fermi-level density of states = 1.543 states/eV/cell
formation energy = 12.9 kJ/mol of atoms
energy = -2.87 eV/atom
V = 21.5 Å³ per atom
space group = No. 123

Crystalline CaLa2BiO6 at its relaxed geometry. Source: Alexandria via LeMat-Bulk, functional PBEsol.

abc: 6.075 6.075 6.150
angles: 60.41 60.41 60.00
Element x y z (fractional)
1 La 0.780 0.780 0.661
2 La 0.220 0.220 0.339
3 O 0.363 0.793 0.718
4 O 0.874 0.637 0.282
5 O 0.637 0.207 0.282
6 O 0.207 0.874 0.282
7 O 0.793 0.126 0.718
8 O 0.126 0.363 0.718
9 Ca 0.500 0.500 0.500
10 Bi 0.000 0.000 0.000

Results
Fermi-level density of states = 4.898 states/eV/cell
energy = -7.45 eV/atom
V = 16.1 Å³ per atom
space group = No. 148
formation energy without anion corrections = -25.88 eV/f.u.

Crystalline ScFeSi2 at its relaxed geometry. Source: Alexandria via LeMat-Bulk, functional PBEsol.

abc: 5.026 9.630 14.053
angles: 90.00 90.00 105.13
Site moments in Bohr magnetons follow the coordinates.
Element x y z (fractional)
1 Si 0.837 0.173 0.250  0.00
2 Si 0.267 0.533 0.357  -0.02
3 Si 0.767 0.533 0.143  -0.02
4 Si 0.640 0.281 0.492  -0.01
5 Si 0.666 0.333 0.899  -0.01
6 Si 0.163 0.827 0.750  0.00
7 Si 0.087 0.174 0.855  -0.01
8 Si 0.233 0.467 0.857  -0.02
9 Si 0.913 0.826 0.145  -0.01
10 Si 0.752 0.000 0.500  0.00
11 Si 0.252 0.000 0.000  0.00
12 Si 0.140 0.281 0.008  -0.01
13 Si 0.334 0.667 0.101  -0.01
14 Si 0.360 0.719 0.508  -0.01
15 Si 0.166 0.333 0.601  -0.01
16 Si 0.834 0.667 0.399  -0.01
17 Si 0.248 0.000 0.500  0.00
18 Si 0.413 0.826 0.355  -0.01
19 Si 0.337 0.173 0.250  0.00
20 Si 0.860 0.719 0.992  -0.01
21 Si 0.748 0.000 0.000  0.00
22 Si 0.663 0.827 0.750  0.00
23 Si 0.587 0.174 0.645  -0.01
24 Si 0.733 0.467 0.643  -0.02
25 Sc 0.877 0.753 0.585  -0.01
26 Sc 0.968 0.935 0.323  -0.01
27 Sc 0.795 0.590 0.819  -0.03
28 Sc 0.532 0.065 0.823  -0.01
29 Sc 0.032 0.065 0.677  -0.01
30 Sc 0.377 0.753 0.915  -0.01
31 Sc 0.123 0.247 0.415  -0.01
32 Sc 0.705 0.410 0.319  -0.03
33 Sc 0.205 0.410 0.181  -0.03
34 Sc 0.468 0.935 0.177  -0.01
35 Sc 0.623 0.247 0.085  -0.01
36 Sc 0.295 0.590 0.681  -0.03
37 Fe 0.958 0.917 0.876  0.00
38 Fe 0.911 0.322 0.750  0.70
39 Fe 0.089 0.678 0.250  0.70
40 Fe 0.042 0.083 0.124  0.00
41 Fe 0.500 0.500 0.000  0.87
42 Fe 0.458 0.917 0.624  0.00
43 Fe 0.589 0.678 0.250  0.70
44 Fe 0.542 0.083 0.376  0.00
45 Fe 0.500 0.500 0.500  0.87
46 Fe 0.000 0.500 0.000  0.87
47 Fe 0.000 0.500 0.500  0.87
48 Fe 0.411 0.322 0.750  0.70

Results
Fermi-level density of states = 31.581 states/eV/cell
energy = -7.54 eV/atom
V = 13.7 Å³ per atom
space group = No. 64
formation energy without anion corrections = -3.08 eV/f.u.

> Which value of energy does entry 3 give?

-5.25 eV/atom

> V of number 1 (HfMgI2)?

23.1 Å³ per atom

> What is the formula in the second record?

La2PdPt2